A relaxed structure of BaLaGd2, computed with PBE.

a b c (Å): 3.762 3.762 10.991
angles (deg): 90.00 90.00 90.00
Last column: magnetic moment on the atom in μB.
Sites, in units of the cell vectors:
Ba 0.500 0.500 0.500  0.04
Gd 0.000 0.000 0.780  7.22
La 0.500 0.500 0.000  0.03
Gd 0.000 0.000 0.220  7.22

Results
Energy of formation   126.8 meV per atom
Excess energy over the best structure of this formula in the dataset   0.0 kJ per mole of atoms
Magnetic moment   15.27 μB per formula unit
Density   6.31 Mg/m³